This record from the Alexandria database describes a geometry-optimized TbPmDyHo2 structure. The functional is PBE-GGA.

Structure (POSCAR):
```
TbPmDyHo2
1.0
-6.196 -1.838 3.125
0.821 -7.801 -2.962
2.427 2.398 6.224
Dy Tb Ho Pm
2 2 4 2
Cartesian
-2.962 -5.954 2.993
0.014 -1.287 3.394
1.682 -5.853 4.015
-4.630 -1.388 2.372
0.255 -2.424 -0.920
-2.532 -6.296 -0.479
0.566 -5.377 -2.041
-2.843 -3.343 0.642
-3.093 -2.201 4.941
0.146 -5.040 1.447
```

Crystal system: orthorhombic
SG: No. 63

=====

This record from the Alexandria database describes a geometry-optimized TbPm3Dy6Ho2 structure. The functional is PBE-GGA.

Structure (POSCAR):
```
TbPm3Dy6Ho2
1.0
-1.276 -2.689 -5.415
5.830 1.485 1.412
-0.018 -10.065 6.173
Dy Tb Pm Ho
6 1 3 2
Cartesian
2.219 -9.179 0.505
4.589 -7.787 2.782
1.128 -7.882 3.645
2.316 -2.090 1.664
-0.053 -3.482 -0.613
3.407 -3.387 -1.475
0.000 0.000 0.000
2.268 -5.635 1.085
4.636 -4.244 3.360
-0.100 -7.026 -1.190
3.461 0.094 -0.864
1.092 -1.298 -3.140
```

Crystal system: monoclinic
SG: No. 12

=====

This record from the Alexandria database describes a geometry-optimized Tb5Pm2DyHo structure. The functional is PBE-GGA.

Structure (POSCAR):
```
Tb5Pm2DyHo
1.0
-5.132 6.870 -0.716
-2.180 -0.765 8.289
9.685 1.662 -1.766
Tb Pm Ho Dy
10 4 2 2
Cartesian
-3.656 3.053 3.787
6.055 2.153 -0.779
-3.681 5.614 6.586
5.351 1.253 3.420
0.000 0.000 0.000
-0.247 3.137 2.121
-2.978 6.514 2.388
3.324 5.531 -0.512
-0.951 2.237 6.320
2.621 4.631 3.686
-1.439 0.520 3.080
-3.431 4.157 0.538
-3.881 1.948 7.036
-5.873 5.585 4.494
0.449 5.792 0.652
1.925 1.975 5.155
-0.641 5.410 4.797
3.015 2.357 1.010
```

Crystal system: tetragonal
SG: No. 140

=====

This record from the Alexandria database describes a geometry-optimized Tb2Pm2DyHo structure. The functional is PBE-GGA.

Structure (POSCAR):
```
Tb2Pm2DyHo
1.0
5.649 0.000 0.000
0.000 7.009 0.000
0.000 0.000 9.789
Dy Pm Tb Ho
2 4 4 2
Cartesian
2.825 5.310 3.330
2.825 1.806 6.459
0.000 5.309 8.068
0.000 1.805 1.720
2.825 0.053 9.788
2.825 3.558 0.001
0.000 1.806 8.194
2.825 5.310 6.548
2.825 1.805 3.241
0.000 5.310 1.595
0.000 3.558 4.893
0.000 0.053 4.895
```

Crystal system: orthorhombic
SG: No. 51

=====

This record from the Alexandria database describes a geometry-optimized TbPm2Dy3Ho6 structure. The functional is PBE-GGA.

Structure (POSCAR):
```
TbPm2Dy3Ho6
1.0
-4.937 3.658 0.314
0.509 -4.807 3.806
6.915 7.069 6.352
Dy Ho Pm Tb
3 6 2 1
Cartesian
3.060 0.138 6.400
1.244 2.960 5.236
-0.572 5.783 4.072
-0.275 2.902 2.054
4.072 5.001 5.773
0.950 5.836 7.256
1.538 0.084 3.216
-1.584 0.919 4.699
2.763 3.018 8.418
-3.121 0.836 1.478
-1.306 -1.985 2.642
0.000 0.000 0.000
```

Crystal system: monoclinic
SG: No. 12

=====

This record from the Alexandria database describes a geometry-optimized TbPmDy2Ho structure. The functional is PBE-GGA.

Structure (POSCAR):
```
TbPmDy2Ho
1.0
7.182 0.000 0.000
0.000 8.393 0.000
0.000 -4.197 5.733
Dy Pm Ho Tb
4 2 2 2
Cartesian
3.591 5.788 0.000
3.591 2.605 0.000
0.000 2.605 0.000
0.000 5.788 0.000
5.386 0.000 3.142
1.795 4.197 2.591
1.795 0.000 3.150
5.386 4.197 2.583
1.795 4.197 5.683
5.386 0.000 0.050
```

Crystal system: orthorhombic
SG: No. 63

=====

This record from the Alexandria database describes a geometry-optimized Tb2PmDyHo2 structure. The functional is PBE-GGA.

Structure (POSCAR):
```
Tb2PmDyHo2
1.0
-1.739 -1.270 -2.616
4.763 -4.363 -1.047
-8.083 -11.446 10.931
Tb Dy Ho Pm
4 2 4 2
Cartesian
2.191 -5.500 1.215
-5.511 -10.309 8.670
-2.106 -5.435 1.845
-2.953 -11.645 5.423
1.512 -2.817 -1.832
-4.042 -5.723 5.466
-3.443 -12.907 8.556
-0.014 -8.054 1.726
0.122 -2.903 1.328
-5.045 -9.026 5.542
0.000 0.000 0.000
-2.530 -8.540 3.634
```

Crystal system: orthorhombic
SG: No. 58

=====

This record from the Alexandria database describes a geometry-optimized Tb6PmDy3Ho2 structure. The functional is PBE-GGA.

Structure (POSCAR):
```
Tb6PmDy3Ho2
1.0
-4.657 0.347 -4.010
3.290 -5.183 0.448
-6.845 -2.327 9.315
Ho Dy Tb Pm
2 3 6 1
Cartesian
0.641 -3.340 -1.038
-2.008 -1.496 -2.524
-4.106 -3.582 2.876
-1.459 -5.424 4.362
-6.754 -1.739 1.391
-0.733 -2.719 2.188
-3.387 -0.873 0.699
-2.741 -4.209 -0.336
-4.826 -6.290 5.054
-5.471 -2.954 6.089
-7.479 -4.444 3.565
0.000 0.000 0.000
```

Crystal system: monoclinic
SG: No. 12

=====

Number 1: calculated formation energy 0.388 eV/atom, calculated volume 345 Å³/cell, energy -4.239 eV per atom. Number 2: calculated formation energy 0.016 eV/atom, calculated volume 385 Å³/cell, energy -4.621 eV per atom. Number 3: calculated formation energy 0.277 eV/atom, calculated volume 586 Å³/cell, energy -4.371 eV per atom. Number 4: calculated formation energy 0.063 eV/atom, calculated volume 388 Å³/cell, energy -4.594 eV per atom. Number 5: calculated formation energy 0.017 eV/atom, calculated volume 380 Å³/cell, energy -4.600 eV per atom. Number 6: calculated formation energy 0.393 eV/atom, calculated volume 346 Å³/cell, energy -4.239 eV per atom. Number 7: calculated formation energy 0.275 eV/atom, calculated volume 394 Å³/cell, energy -4.353 eV per atom. Number 8: calculated formation energy 0.015 eV/atom, calculated volume 381 Å³/cell, energy -4.610 eV per atom.